[1]
A relaxed structure of Ba3CaTa2O9, computed with PBE-GGA.

a = 5.969 Å, b = 5.969 Å, c = 7.373 Å
α = 90.00°, β = 90.00°, γ = 120.00°
Fractional coordinates of all 15 atoms:
Ta 0.333 0.667 0.169
Ta 0.667 0.333 0.831
Ca 0.000 0.000 0.500
O 0.354 0.177 0.687
O 0.177 0.354 0.313
O 0.000 0.500 0.000
O 0.177 0.823 0.313
O 0.646 0.823 0.313
O 0.500 0.500 0.000
O 0.823 0.177 0.687
O 0.500 0.000 0.000
O 0.823 0.646 0.687
Ba 0.667 0.333 0.331
Ba 0.000 0.000 0.000
Ba 0.333 0.667 0.669

Calculated values
Calculated volume   227.5 Å³/cell
Calculated total energy   -8.109 eV/atom

[2]
A relaxed structure of BaCaTcO6, computed with PBE-GGA.

a = 5.876 Å, b = 5.679 Å, c = 5.265 Å
α = 90.58°, β = 90.26°, γ = 61.13°
Site moments in Bohr magnetons follow the coordinates.
Fractional coordinates of all 9 atoms:
O 0.043 0.582 0.684  0.42
O 0.348 0.596 0.301  -0.01
O 0.581 0.366 0.723  0.00
O 0.585 0.058 0.279  0.00
O 0.359 0.051 0.702  -0.01
O 0.046 0.362 0.320  0.44
Ba 0.018 0.992 0.995  0.02
Ca 0.653 0.674 0.495  0.00
Tc 0.367 0.317 0.502  -0.03

Calculated values
Calculated volume   153.8 Å³/cell
Calculated total energy   -6.781 eV/atom

[3]
A relaxed structure of BaCaTc2O8, computed with PBE-GGA.

a = 5.929 Å, b = 5.929 Å, c = 7.695 Å
α = 90.00°, β = 90.00°, γ = 120.00°
Site moments in Bohr magnetons follow the coordinates.
Fractional coordinates of all 12 atoms:
O 0.667 0.833 0.707  0.05
O 0.667 0.333 0.993  0.08
O 0.333 0.167 0.293  0.05
O 0.333 0.667 0.007  0.08
O 0.834 0.667 0.293  0.05
O 0.167 0.834 0.707  0.05
O 0.166 0.333 0.707  0.05
O 0.833 0.166 0.293  0.05
Ca 0.000 0.000 0.500  0.01
Tc 0.667 0.333 0.223  0.65
Tc 0.333 0.667 0.777  0.65
Ba 0.000 0.000 0.000  0.01

Calculated values
Calculated volume   234.3 Å³/cell
Calculated total energy   -7.346 eV/atom

[4]
A relaxed structure of Ba2CaTcO6, computed with PBE-GGA.

a = 5.980 Å, b = 5.980 Å, c = 5.980 Å
α = 60.00°, β = 60.00°, γ = 60.00°
Site moments in Bohr magnetons follow the coordinates.
Fractional coordinates of all 10 atoms:
O 0.771 0.229 0.771  0.01
O 0.229 0.771 0.229  0.01
O 0.229 0.229 0.771  0.01
O 0.771 0.771 0.229  0.01
O 0.229 0.771 0.771  0.01
O 0.771 0.229 0.229  0.01
Ba 0.250 0.250 0.250  0.01
Ba 0.750 0.750 0.750  0.01
Ca 0.500 0.500 0.500  0.01
Tc 0.000 0.000 0.000  0.71

Calculated values
Calculated volume   151.2 Å³/cell
Calculated total energy   -6.979 eV/atom

[5]
A relaxed structure of Ba3CaTc2O9, computed with PBE-GGA.

a = 5.870 Å, b = 5.870 Å, c = 7.233 Å
α = 90.00°, β = 90.00°, γ = 120.00°
Fractional coordinates of all 15 atoms:
O 0.000 0.500 0.000
O 0.179 0.358 0.312
O 0.500 0.500 0.000
O 0.179 0.821 0.312
O 0.821 0.642 0.688
O 0.500 0.000 0.000
O 0.821 0.179 0.688
O 0.642 0.821 0.312
O 0.358 0.179 0.688
Ba 0.333 0.667 0.660
Ba 0.000 0.000 0.000
Ba 0.667 0.333 0.340
Ca 0.000 0.000 0.500
Tc 0.333 0.667 0.154
Tc 0.667 0.333 0.846

Calculated values
Calculated volume   215.8 Å³/cell
Calculated total energy   -7.163 eV/atom

[6]
A relaxed structure of BaCaTe2O8, computed with PBE-GGA.

a = 5.979 Å, b = 5.979 Å, c = 7.824 Å
α = 90.00°, β = 90.00°, γ = 120.00°
Fractional coordinates of all 12 atoms:
Ba 0.000 0.000 0.000
Te 0.333 0.667 0.777
Te 0.667 0.333 0.223
O 0.166 0.838 0.705
O 0.162 0.328 0.705
O 0.838 0.672 0.295
O 0.328 0.166 0.295
O 0.834 0.162 0.295
O 0.667 0.333 0.988
O 0.333 0.667 0.012
O 0.672 0.834 0.705
Ca 0.000 0.000 0.500

Calculated values
Calculated volume   242.2 Å³/cell
Calculated total energy   -5.813 eV/atom

Please write out number 1 again, unchanged.
A relaxed structure of Ba3CaTa2O9, computed with PBE-GGA.

a = 5.969 Å, b = 5.969 Å, c = 7.373 Å
α = 90.00°, β = 90.00°, γ = 120.00°
Fractional coordinates of all 15 atoms:
Ta 0.333 0.667 0.169
Ta 0.667 0.333 0.831
Ca 0.000 0.000 0.500
O 0.354 0.177 0.687
O 0.177 0.354 0.313
O 0.000 0.500 0.000
O 0.177 0.823 0.313
O 0.646 0.823 0.313
O 0.500 0.500 0.000
O 0.823 0.177 0.687
O 0.500 0.000 0.000
O 0.823 0.646 0.687
Ba 0.667 0.333 0.331
Ba 0.000 0.000 0.000
Ba 0.333 0.667 0.669

Calculated values
Calculated volume   227.5 Å³/cell
Calculated total energy   -8.109 eV/atom

> calculated volume of number 5 (Ba3CaTc2O9)?

215.8 Å³/cell